<a>
Material: CaV3Os
Method: DFT, PBE
State: optimized geometry Values from VASP.

Geometry as Quantum ESPRESSO input:
```
&SYSTEM
  ibrav = 0, nat = 5, ntyp = 3
/
ATOMIC_SPECIES
V 50.94 V.upf
Ca 40.08 Ca.upf
Os 190.23 Os.upf
CELL_PARAMETERS angstrom
4.257 0.000 0.000
0.000 4.257 0.000
0.000 0.000 4.257
ATOMIC_POSITIONS angstrom
V 0.000 0.000 2.129
V 2.129 0.000 0.000
V 0.000 2.129 0.000
Ca 0.000 0.000 0.000
Os 2.129 2.129 2.129
```

## Properties
N(E_F) = 7.47 states/eV/cell

<b>
Material: CaV3Os
Method: DFT, PBE
State: optimized geometry Values from VASP.

Geometry as Quantum ESPRESSO input:
```
&SYSTEM
  ibrav = 0, nat = 5, ntyp = 3
/
ATOMIC_SPECIES
Os 190.23 Os.upf
V 50.94 V.upf
Ca 40.08 Ca.upf
CELL_PARAMETERS angstrom
-4.342 -0.350 1.955
-0.526 -4.329 -1.944
1.916 -1.983 3.898
ATOMIC_POSITIONS angstrom
Os 0.000 0.000 0.000
V 0.958 -0.992 1.949
V -0.263 -2.165 -0.972
V -2.171 -0.175 0.978
Ca -1.476 -3.331 1.955
```

## Properties
N(E_F) = 5.31 states/eV/cell

Taking the most stable structure as the zero point, the relative energies in eV/atom are <a> 1.550; <b> 0.000.

<a>
Material: CaOsW2
Method: DFT, PBE
State: optimized geometry Values from VASP.

Geometry as Quantum ESPRESSO input:
```
&SYSTEM
  ibrav = 0, nat = 4, ntyp = 3
/
ATOMIC_SPECIES
Os 190.23 Os.upf
Ca 40.08 Ca.upf
W 183.84 W.upf
CELL_PARAMETERS angstrom
-1.346 -1.421 -1.989
3.928 -1.849 -1.336
-0.773 -4.176 3.506
ATOMIC_POSITIONS angstrom
Os 0.712 -4.767 0.967
Ca 1.098 -2.679 -0.786
W -0.761 -4.111 3.452
W -0.398 -2.152 1.807
```

## Properties
N(E_F) = 2.95 states/eV/cell

<b>
Material: CaOsW2
Method: DFT, PBE
State: optimized geometry Values from VASP.

Geometry as Quantum ESPRESSO input:
```
&SYSTEM
  ibrav = 0, nat = 4, ntyp = 3
/
ATOMIC_SPECIES
W 183.84 W.upf
Ca 40.08 Ca.upf
Os 190.23 Os.upf
CELL_PARAMETERS angstrom
-1.399 1.054 -2.267
-2.445 -0.046 1.493
1.608 8.347 2.889
ATOMIC_POSITIONS angstrom
W 1.533 7.958 2.754
W 0.879 4.562 1.579
Ca -1.520 2.591 0.335
Os -0.716 6.764 1.780
```

## Properties
N(E_F) = 4.48 states/eV/cell

<c>
Material: CaOsW2
Method: DFT, PBE
State: optimized geometry Values from VASP.

Geometry as Quantum ESPRESSO input:
```
&SYSTEM
  ibrav = 0, nat = 4, ntyp = 3
/
ATOMIC_SPECIES
W 183.84 W.upf
Os 190.23 Os.upf
Ca 40.08 Ca.upf
CELL_PARAMETERS angstrom
5.613 0.007 0.001
4.763 2.969 0.001
1.946 0.558 4.216
ATOMIC_POSITIONS angstrom
W 10.202 2.926 0.089
W 6.335 1.817 2.022
Os 3.081 0.883 1.055
Ca 9.242 2.650 3.164
```

## Properties
N(E_F) = 1.96 states/eV/cell

Taking the most stable structure as the zero point, the relative energies in eV/atom are <a> 0.311; <b> 0.069; <c> 0.000.

<a>
Material: CaOsW2
Method: DFT, PBE
State: optimized geometry Values from VASP.

Geometry as Quantum ESPRESSO input:
```
&SYSTEM
  ibrav = 0, nat = 4, ntyp = 3
/
ATOMIC_SPECIES
Ca 40.08 Ca.upf
W 183.84 W.upf
Os 190.23 Os.upf
CELL_PARAMETERS angstrom
5.209 0.006 0.007
4.344 2.875 0.007
1.482 0.447 5.086
ATOMIC_POSITIONS angstrom
Ca 5.574 1.681 2.494
W 8.091 2.440 4.186
W 9.498 2.864 0.022
Os 2.942 0.887 0.963
```

## Properties
N(E_F) = 2.60 states/eV/cell

<b>
Material: CaOsW2
Method: DFT, PBE
State: optimized geometry Values from VASP.

Geometry as Quantum ESPRESSO input:
```
&SYSTEM
  ibrav = 0, nat = 4, ntyp = 3
/
ATOMIC_SPECIES
Os 190.23 Os.upf
W 183.84 W.upf
Ca 40.08 Ca.upf
CELL_PARAMETERS angstrom
3.136 0.000 0.000
0.000 4.587 0.000
0.000 0.000 4.773
ATOMIC_POSITIONS angstrom
Os 0.000 2.293 2.387
W 1.568 2.293 0.000
W 0.000 0.000 0.000
Ca 1.568 0.000 2.387
```

## Properties
N(E_F) = 3.98 states/eV/cell

<c>
Material: CaOsW2
Method: DFT, PBE
State: optimized geometry Values from VASP.

Geometry as Quantum ESPRESSO input:
```
&SYSTEM
  ibrav = 0, nat = 4, ntyp = 3
/
ATOMIC_SPECIES
W 183.84 W.upf
Ca 40.08 Ca.upf
Os 190.23 Os.upf
CELL_PARAMETERS angstrom
4.662 0.000 0.000
0.000 2.779 -0.004
0.000 0.994 5.300
ATOMIC_POSITIONS angstrom
W 0.000 1.945 2.702
W 0.000 3.714 5.242
Ca 2.331 0.943 1.324
Os 2.331 2.829 3.972
```

## Properties
N(E_F) = 3.21 states/eV/cell

Taking the most stable structure as the zero point, the relative energies in eV/atom are <a> 0.000; <b> 0.084; <c> 0.025.

<a>
Material: CaOsW2
Method: DFT, PBE
State: optimized geometry Values from VASP.

Geometry as Quantum ESPRESSO input:
```
&SYSTEM
  ibrav = 0, nat = 4, ntyp = 3
/
ATOMIC_SPECIES
Ca 40.08 Ca.upf
W 183.84 W.upf
Os 190.23 Os.upf
CELL_PARAMETERS angstrom
5.486 -0.005 -0.006
-2.694 4.778 -0.006
0.415 0.710 2.603
ATOMIC_POSITIONS angstrom
Ca 2.950 0.352 1.298
W 0.000 0.000 0.000
W 1.396 2.386 -0.006
Os -1.140 2.744 1.298
```

## Properties
N(E_F) = 3.28 states/eV/cell

<b>
Material: CaOsW2
Method: DFT, PBE
State: optimized geometry Values from VASP.

Geometry as Quantum ESPRESSO input:
```
&SYSTEM
  ibrav = 0, nat = 4, ntyp = 3
/
ATOMIC_SPECIES
W 183.84 W.upf
Os 190.23 Os.upf
Ca 40.08 Ca.upf
CELL_PARAMETERS angstrom
5.481 -0.003 0.000
-2.801 4.711 0.000
0.000 0.000 2.690
ATOMIC_POSITIONS angstrom
W 0.000 0.000 0.000
W 1.340 2.354 0.000
Os -1.400 2.356 1.345
Ca 2.741 -0.001 1.345
```

## Properties
N(E_F) = 3.96 states/eV/cell

Taking the most stable structure as the zero point, the relative energies in eV/atom are <a> 0.000; <b> 0.139.

<a>
Material: Ca3OsW
Method: DFT, PBE
State: optimized geometry Values from VASP.

Geometry as Quantum ESPRESSO input:
```
&SYSTEM
  ibrav = 0, nat = 5, ntyp = 3
/
ATOMIC_SPECIES
Ca 40.08 Ca.upf
W 183.84 W.upf
Os 190.23 Os.upf
CELL_PARAMETERS angstrom
5.427 0.000 0.000
0.000 5.427 0.000
0.000 0.000 5.427
ATOMIC_POSITIONS angstrom
Ca 0.000 2.714 0.000
Ca 2.714 0.000 0.000
Ca 0.000 0.000 2.714
W 2.714 2.714 2.714
Os 0.000 0.000 0.000
```

## Properties
N(E_F) = 5.27 states/eV/cell

<b>
Material: Ca3OsW
Method: DFT, PBE
State: optimized geometry Values from VASP.

Geometry as Quantum ESPRESSO input:
```
&SYSTEM
  ibrav = 0, nat = 5, ntyp = 3
/
ATOMIC_SPECIES
W 183.84 W.upf
Os 190.23 Os.upf
Ca 40.08 Ca.upf
CELL_PARAMETERS angstrom
5.357 0.000 0.000
0.000 5.357 0.000
0.000 0.000 5.357
ATOMIC_POSITIONS angstrom
W 0.000 0.000 0.000
Os 2.679 2.679 2.679
Ca 2.679 0.000 0.000
Ca 0.000 2.679 0.000
Ca 0.000 0.000 2.679
```

## Properties
N(E_F) = 7.56 states/eV/cell

Taking the most stable structure as the zero point, the relative energies in eV/atom are <a> 0.000; <b> 0.569.

<a>
Material: CaY3Os
Method: DFT, PBE
State: optimized geometry Values from VASP.

Geometry as Quantum ESPRESSO input:
```
&SYSTEM
  ibrav = 0, nat = 5, ntyp = 3
/
ATOMIC_SPECIES
Y 88.91 Y.upf
Ca 40.08 Ca.upf
Os 190.23 Os.upf
CELL_PARAMETERS angstrom
5.162 0.000 0.000
0.000 5.162 0.000
0.000 0.000 5.162
ATOMIC_POSITIONS angstrom
Y 0.000 2.581 0.000
Y 0.000 0.000 2.581
Y 2.581 0.000 0.000
Ca 0.000 0.000 0.000
Os 2.581 2.581 2.581
```

## Properties
N(E_F) = 9.23 states/eV/cell

<b>
Material: CaY3Os
Method: DFT, PBE
State: optimized geometry Values from VASP.

Geometry as Quantum ESPRESSO input:
```
&SYSTEM
  ibrav = 0, nat = 5, ntyp = 3
/
ATOMIC_SPECIES
Ca 40.08 Ca.upf
Y 88.91 Y.upf
Os 190.23 Os.upf
CELL_PARAMETERS angstrom
5.480 0.000 0.000
0.000 5.480 0.000
0.000 0.000 5.480
ATOMIC_POSITIONS angstrom
Ca 2.740 2.740 2.740
Y 2.740 0.000 0.000
Y 0.000 2.740 0.000
Y 0.000 0.000 2.740
Os 0.000 0.000 0.000
```

## Properties
N(E_F) = 2.43 states/eV/cell

Taking the most stable structure as the zero point, the relative energies in eV/atom are <a> 1.895; <b> 0.000.